No. 1
Material: CsScO2
Method: DFT, PBE
State: optimized geometry Values from VASP.

Structure (Quantum ESPRESSO input):
```
&SYSTEM
  ibrav = 0, nat = 4, ntyp = 3
/
ATOMIC_SPECIES
Cs 132.91 Cs.upf
Sc 44.96 Sc.upf
O 16.00 O.upf
ATOMIC_POSITIONS crystal
Cs 0.000 0.000 0.500
Sc 0.500 0.500 0.000
O 0.500 0.500 0.500
O 0.000 0.000 0.000
CELL_PARAMETERS angstrom
-1.641 -1.385 3.003
3.290 -0.352 1.635
-0.471 4.908 2.006
```

Computed properties:
Total magnetization: 0.00 μB/cell
Theoretical density: 4.805 Mg/m³
Final energy: -5.425 eV per atom
E_form (uncorrected): -1149 meV per atom



No. 2
Material: CsScO2
Method: DFT, PBE
State: optimized geometry Values from VASP.

Structure (Quantum ESPRESSO input):
```
&SYSTEM
  ibrav = 0, nat = 4, ntyp = 3
/
ATOMIC_SPECIES
Cs 132.91 Cs.upf
Sc 44.96 Sc.upf
O 16.00 O.upf
ATOMIC_POSITIONS crystal
Cs 0.333 0.667 0.453
Sc 0.000 0.000 0.990
O 0.333 0.667 0.858
O 0.667 0.333 0.154
CELL_PARAMETERS angstrom
2.922 -1.687 0.000
0.000 3.374 0.000
0.000 0.000 7.065
```

Computed properties:
Total magnetization: 0.00 μB/cell
Theoretical density: 5.004 Mg/m³
Final energy: -6.732 eV per atom
E_form (uncorrected): -2457 meV per atom



No. 3
Material: CsScO2
Method: DFT, PBE
State: optimized geometry Values from VASP.

Structure (Quantum ESPRESSO input):
```
&SYSTEM
  ibrav = 0, nat = 4, ntyp = 3
/
ATOMIC_SPECIES
Cs 132.91 Cs.upf
Sc 44.96 Sc.upf
O 16.00 O.upf
ATOMIC_POSITIONS crystal
Cs 0.501 0.501 0.501
Sc 0.009 0.009 0.009
O 0.090 0.090 0.090
O 0.651 0.651 0.651
CELL_PARAMETERS angstrom
2.101 0.000 7.464
-1.051 1.820 7.464
-1.051 -1.820 7.464
```

Computed properties:
Total magnetization: 0.02 μB/cell
Theoretical density: 4.070 Mg/m³
Final energy: -6.640 eV per atom
E_form (uncorrected): -2364 meV per atom



No. 4
Material: Cs2ScO
Method: DFT, PBE
State: optimized geometry Values from VASP.

Structure (Quantum ESPRESSO input):
```
&SYSTEM
  ibrav = 0, nat = 8, ntyp = 3
/
ATOMIC_SPECIES
Cs 132.91 Cs.upf
Sc 44.96 Sc.upf
O 16.00 O.upf
ATOMIC_POSITIONS crystal
Cs 0.694 0.375 0.819
Cs 0.556 0.875 0.181
Cs 0.125 0.306 0.681
Cs 0.625 0.444 0.319
Sc 0.000 0.000 0.000
Sc 0.250 0.750 0.500
O 0.500 0.500 0.000
O 0.750 0.250 0.500
CELL_PARAMETERS angstrom
-7.071 7.071 2.004
7.071 -7.071 2.004
7.071 7.071 -2.004
```

Computed properties:
Total magnetization: 1.33 μB/cell
Polymorph energy (0 for the lowest one): 0.0 meV per atom
Theoretical density: 2.707 Mg/m³
Final energy: -4.144 eV per atom
E_form (uncorrected): -895 meV per atom



No. 5
Material: CsScO2
Method: DFT, PBE
State: optimized geometry Values from VASP.

Structure (Quantum ESPRESSO input):
```
&SYSTEM
  ibrav = 0, nat = 8, ntyp = 3
/
ATOMIC_SPECIES
Cs 132.91 Cs.upf
Sc 44.96 Sc.upf
O 16.00 O.upf
ATOMIC_POSITIONS crystal
Cs 0.085 0.915 0.250
Cs 0.915 0.085 0.750
Sc 0.295 0.705 0.250
Sc 0.705 0.295 0.750
O 0.221 0.779 0.250
O 0.779 0.221 0.750
O 0.850 0.150 0.250
O 0.150 0.850 0.750
CELL_PARAMETERS angstrom
1.593 -13.590 0.000
1.593 13.590 0.000
0.000 0.000 3.653
```

Computed properties:
Total magnetization: 0.00 μB/cell
Theoretical density: 4.407 Mg/m³
Final energy: -6.441 eV per atom
E_form (uncorrected): -2166 meV per atom



No. 6
Material: Cs2ScO
Method: DFT, PBE
State: optimized geometry Values from VASP.

Structure (Quantum ESPRESSO input):
```
&SYSTEM
  ibrav = 0, nat = 4, ntyp = 3
/
ATOMIC_SPECIES
Cs 132.91 Cs.upf
Sc 44.96 Sc.upf
O 16.00 O.upf
ATOMIC_POSITIONS crystal
Cs 0.250 0.250 0.250
Cs 0.750 0.750 0.750
Sc 0.500 0.500 0.500
O 0.000 0.000 0.000
CELL_PARAMETERS angstrom
0.000 4.121 4.121
4.121 0.000 4.121
4.121 4.121 0.000
```

Computed properties:
Total magnetization: 1.11 μB/cell
Polymorph energy (0 for the lowest one): 1557.7 meV per atom
Theoretical density: 3.878 Mg/m³
Final energy: -2.586 eV per atom
E_form (uncorrected): 663 meV per atom



No. 7
Material: CsScO2
Method: DFT, PBE
State: optimized geometry Values from VASP.

Structure (Quantum ESPRESSO input):
```
&SYSTEM
  ibrav = 0, nat = 32, ntyp = 3
/
ATOMIC_SPECIES
Cs 132.91 Cs.upf
Sc 44.96 Sc.upf
O 16.00 O.upf
ATOMIC_POSITIONS crystal
Cs 0.118 0.104 0.277
Cs 0.382 0.777 0.604
Cs 0.882 0.896 0.723
Cs 0.618 0.223 0.396
Cs 0.402 0.252 0.626
Cs 0.098 0.126 0.752
Cs 0.598 0.748 0.374
Cs 0.902 0.874 0.248
Sc 0.337 0.577 0.048
Sc 0.163 0.548 0.077
Sc 0.663 0.423 0.952
Sc 0.837 0.452 0.923
Sc 0.335 0.089 0.045
Sc 0.165 0.545 0.589
Sc 0.665 0.911 0.955
Sc 0.835 0.455 0.411
O 0.085 0.645 0.734
O 0.415 0.234 0.145
O 0.915 0.355 0.266
O 0.585 0.766 0.855
O 0.748 0.335 0.286
O 0.752 0.786 0.835
O 0.252 0.665 0.714
O 0.248 0.214 0.165
O 0.406 0.747 0.134
O 0.094 0.634 0.247
O 0.594 0.253 0.866
O 0.906 0.366 0.753
O 0.750 0.333 0.833
O 0.250 0.667 0.167
O 0.750 0.789 0.289
O 0.250 0.211 0.711
CELL_PARAMETERS angstrom
18.419 0.000 -1.292
2.994 4.940 -3.929
-2.994 4.940 3.929
```

Computed properties:
Total magnetization: 0.00 μB/cell
Theoretical density: 4.119 Mg/m³
Final energy: -6.917 eV per atom
E_form (uncorrected): -2642 meV per atom



No. 8
Material: CsScO2
Method: DFT, PBE
State: optimized geometry Values from VASP.

Structure (Quantum ESPRESSO input):
```
&SYSTEM
  ibrav = 0, nat = 16, ntyp = 3
/
ATOMIC_SPECIES
Cs 132.91 Cs.upf
Sc 44.96 Sc.upf
O 16.00 O.upf
ATOMIC_POSITIONS crystal
Cs 0.475 0.250 0.370
Cs 0.025 0.750 0.870
Cs 0.525 0.750 0.630
Cs 0.975 0.250 0.130
Sc 0.014 0.250 0.622
Sc 0.486 0.750 0.122
Sc 0.986 0.750 0.378
Sc 0.514 0.250 0.878
O 0.976 0.250 0.421
O 0.524 0.750 0.921
O 0.024 0.750 0.579
O 0.476 0.250 0.079
O 0.271 0.250 0.748
O 0.229 0.750 0.248
O 0.729 0.750 0.252
O 0.771 0.250 0.752
CELL_PARAMETERS angstrom
6.345 0.000 0.000
0.000 4.382 0.000
0.000 0.000 10.339
```

Computed properties:
Total magnetization: 0.00 μB/cell
Theoretical density: 4.849 Mg/m³
Final energy: -6.866 eV per atom
E_form (uncorrected): -2591 meV per atom



No. 9
Material: CsSc4O6
Method: DFT, PBE
State: optimized geometry Values from VASP.

Structure (Quantum ESPRESSO input):
```
&SYSTEM
  ibrav = 0, nat = 22, ntyp = 3
/
ATOMIC_SPECIES
Cs 132.91 Cs.upf
Sc 44.96 Sc.upf
O 16.00 O.upf
ATOMIC_POSITIONS crystal
Cs 0.649 0.299 0.250
Cs 0.351 0.701 0.750
Sc 0.872 0.744 0.540
Sc 0.397 0.795 0.135
Sc 0.128 0.256 0.460
Sc 0.603 0.205 0.865
Sc 0.872 0.744 0.960
Sc 0.128 0.256 0.040
Sc 0.603 0.205 0.635
Sc 0.397 0.795 0.365
O 0.500 0.000 0.000
O 0.500 0.000 0.500
O 0.017 0.034 0.365
O 0.983 0.966 0.635
O 0.983 0.966 0.865
O 0.017 0.034 0.135
O 0.771 0.543 0.425
O 0.229 0.457 0.575
O 0.229 0.457 0.925
O 0.771 0.543 0.075
O 0.366 0.731 0.250
O 0.634 0.269 0.750
CELL_PARAMETERS angstrom
-2.482 -1.509 1.390
3.824 0.882 4.055
-7.228 15.135 3.525
```

Computed properties:
Total magnetization: 0.00 μB/cell
Theoretical density: 4.547 Mg/m³
Final energy: -8.065 eV per atom
E_form (uncorrected): -2981 meV per atom



No. 10
Material: Cs5ScO4
Method: DFT, PBE
State: optimized geometry Values from VASP.

Structure (Quantum ESPRESSO input):
```
&SYSTEM
  ibrav = 0, nat = 20, ntyp = 3
/
ATOMIC_SPECIES
Cs 132.91 Cs.upf
Sc 44.96 Sc.upf
O 16.00 O.upf
ATOMIC_POSITIONS crystal
Cs 0.742 0.191 0.241
Cs 0.742 0.191 0.759
Cs 0.151 0.000 0.500
Cs 0.742 0.809 0.241
Cs 0.742 0.809 0.759
Cs 0.258 0.691 0.259
Cs 0.258 0.691 0.741
Cs 0.849 0.500 0.000
Cs 0.258 0.309 0.741
Cs 0.258 0.309 0.259
Sc 0.204 0.000 0.000
Sc 0.796 0.500 0.500
O 0.048 0.178 0.000
O 0.356 0.000 0.207
O 0.356 0.000 0.793
O 0.048 0.822 0.000
O 0.952 0.678 0.500
O 0.644 0.500 0.293
O 0.644 0.500 0.707
O 0.952 0.322 0.500
CELL_PARAMETERS angstrom
7.073 0.000 0.000
0.000 9.692 0.000
0.000 0.000 8.339
```

Computed properties:
Total magnetization: 0.00 μB/cell
Theoretical density: 4.493 Mg/m³
Final energy: -4.691 eV per atom
E_form (uncorrected): -1647 meV per atom



No. 11
Material: CsScO2
Method: DFT, PBE
State: optimized geometry Values from VASP.

Structure (Quantum ESPRESSO input):
```
&SYSTEM
  ibrav = 0, nat = 8, ntyp = 3
/
ATOMIC_SPECIES
Cs 132.91 Cs.upf
Sc 44.96 Sc.upf
O 16.00 O.upf
ATOMIC_POSITIONS crystal
Cs 0.750 0.921 0.421
Cs 0.250 0.079 0.579
Sc 0.750 0.263 0.763
Sc 0.250 0.737 0.237
O 0.172 0.049 0.131
O 0.328 0.631 0.549
O 0.828 0.951 0.869
O 0.672 0.369 0.451
CELL_PARAMETERS angstrom
-1.592 6.461 -3.218
-6.854 1.848 -2.250
-3.525 -2.506 6.062
```

Computed properties:
Total magnetization: 0.00 μB/cell
Theoretical density: 2.971 Mg/m³
Final energy: -6.842 eV per atom
E_form (uncorrected): -2567 meV per atom



No. 12
Material: CsScO2
Method: DFT, PBE
State: optimized geometry Values from VASP.

Structure (Quantum ESPRESSO input):
```
&SYSTEM
  ibrav = 0, nat = 8, ntyp = 3
/
ATOMIC_SPECIES
Sc 44.96 Sc.upf
Cs 132.91 Cs.upf
O 16.00 O.upf
ATOMIC_POSITIONS crystal
Sc 0.218 0.820 0.794
Sc 0.792 0.832 0.501
Cs 0.472 0.515 0.320
Cs 0.538 0.136 0.976
O 0.006 0.826 0.647
O 0.474 0.598 0.777
O 0.536 0.054 0.519
O 0.004 0.826 0.148
CELL_PARAMETERS angstrom
5.978 0.893 -0.446
-0.041 6.897 -1.034
3.354 3.774 4.195
```

Computed properties:
Total magnetization: 0.00 μB/cell
Theoretical density: 3.421 Mg/m³
Final energy: -6.928 eV per atom
E_form (uncorrected): -2653 meV per atom